Record 1
VASP calculation (PBE) on ZrZnAu2 after structural relaxation.

Cell lengths 4.7157, 4.7157, 7.7180 Å; angles 90.00, 90.00, 120.00 degrees
Last column: nearest neighbours and their distance in Å.
Fractional coordinates of all 8 atoms:
Zr: 0.0000 0.0000 0.2500  3 Zn 2.72, 6 Au 3.04
Zr: 0.0000 0.0000 0.7500  3 Zn 2.72, 6 Au 3.04
Au: 0.6667 0.3333 0.5742  1 Zn 2.50, 1 Au 2.71
Au: 0.3333 0.6667 0.4258  1 Zn 2.50, 1 Au 2.71
Au: 0.6667 0.3333 0.9258  1 Zn 2.50, 1 Au 2.71
Au: 0.3333 0.6667 0.0742  1 Zn 2.50, 1 Au 2.71
Zn: 0.3333 0.6667 0.7500  2 Au 2.50, 3 Zr 2.72
Zn: 0.6667 0.3333 0.2500  2 Au 2.50, 3 Zr 2.72

Energy of formation from the pure elements   -0.1898 eV/atom
Total magnetization   0.1 μB per cell


Record 2
VASP calculation (PBE) on Zr2ZnAu2 after structural relaxation.

Cell lengths 6.7630, 6.7630, 6.7630 Å; angles 142.23, 142.23, 54.49 degrees
Last column: nearest neighbours and their distance in Å.
Fractional coordinates of all 5 atoms:
Au: 0.6066 0.6066 0.0000  1 Au 2.56, 4 Zr 2.79
Au: 0.3934 0.3934 0.0000  1 Au 2.56, 4 Zr 2.79
Zr: 0.2500 0.7500 0.5000  4 Au 2.79, 4 Zr 3.10
Zr: 0.7500 0.2500 0.5000  4 Au 2.79, 4 Zr 3.10
Zn: 0.0000 0.0000 0.0000  8 Au 3.35, 8 Zr 3.72

Energy of formation from the pure elements   0.0578 eV/atom
Total magnetization   0.0 μB per cell


Record 3
VASP calculation (PBE) on ZrZnAu2 after structural relaxation.

Cell lengths 3.1734, 3.1734, 7.1762 Å; angles 90.00, 90.00, 90.00 degrees
Last column: nearest neighbours and their distance in Å.
Fractional coordinates of all 4 atoms:
Zn: 0.0000 0.0000 0.0000  8 Au 2.77
Au: 0.5000 0.5000 0.2268  4 Zn 2.77, 4 Zr 2.98
Au: 0.5000 0.5000 0.7732  4 Zn 2.77, 4 Zr 2.98
Zr: 0.0000 0.0000 0.5000  8 Au 2.98, 4 Zr 3.17

Energy of formation from the pure elements   -0.4188 eV/atom
Total magnetization   0.0 μB per cell


Record 4
VASP calculation (PBE) on ZrZnAu2 after structural relaxation.

Cell lengths 4.4943, 4.4943, 8.6156 Å; angles 90.00, 90.00, 120.00 degrees
Last column: nearest neighbours and their distance in Å.
Fractional coordinates of all 8 atoms:
Au: 0.3333 0.6667 0.5872  3 Zn 2.70, 4 Au 2.81-3.00, 4 Zr 2.90-2.95
Au: 0.3333 0.6667 0.9128  3 Zn 2.70, 4 Au 2.81-3.00, 4 Zr 2.90-2.95
Au: 0.6667 0.3333 0.0872  3 Zn 2.70, 4 Au 2.81-3.00, 4 Zr 2.90-2.95
Au: 0.6667 0.3333 0.4128  3 Zn 2.70, 4 Au 2.81-3.00, 4 Zr 2.90-2.95
Zr: 0.6667 0.3333 0.7500  8 Au 2.90-2.95
Zr: 0.3333 0.6667 0.2500  8 Au 2.90-2.95
Zn: 0.0000 0.0000 0.0000  6 Au 2.70
Zn: 0.0000 0.0000 0.5000  6 Au 2.70

Energy of formation from the pure elements   -0.4375 eV/atom
Total magnetization   0.0 μB per cell


Record 5
VASP calculation (PBE) on Zr2Zn2Au after structural relaxation.

Cell lengths 6.7685, 6.7685, 4.0150 Å; angles 90.00, 90.00, 90.00 degrees
Last column: nearest neighbours and their distance in Å.
Fractional coordinates of all 10 atoms:
Zn: 0.1299 0.3701 0.0000  1 Zn 2.49, 2 Au 2.65, 2 Zr 2.77
Zn: 0.8701 0.6299 0.0000  1 Zn 2.49, 2 Au 2.65, 2 Zr 2.77
Zn: 0.3701 0.8701 0.0000  1 Zn 2.49, 2 Au 2.65, 2 Zr 2.77
Zn: 0.6299 0.1299 0.0000  1 Zn 2.49, 2 Au 2.65, 2 Zr 2.77
Au: 0.0000 0.0000 0.0000  4 Zn 2.65
Au: 0.5000 0.5000 0.0000  4 Zn 2.65
Zr: 0.6701 0.8299 0.5000  6 Zn 2.77-2.87
Zr: 0.3299 0.1701 0.5000  6 Zn 2.77-2.87
Zr: 0.8299 0.3299 0.5000  6 Zn 2.77-2.87
Zr: 0.1701 0.6701 0.5000  6 Zn 2.77-2.87

Energy of formation from the pure elements   -0.3827 eV/atom
Total magnetization   0.0 μB per cell


Record 6
VASP calculation (PBE) on Zr2ZnAu2 after structural relaxation.

Cell lengths 7.6696, 7.6696, 7.6696 Å; angles 150.92, 150.92, 41.59 degrees
Last column: nearest neighbours and their distance in Å.
Fractional coordinates of all 5 atoms:
Zn: 0.0000 0.0000 0.0000  8 Zr 3.07
Au: 0.7500 0.2500 0.5000  4 Au 2.72, 4 Zr 2.91
Au: 0.2500 0.7500 0.5000  4 Au 2.72, 4 Zr 2.91
Zr: 0.5981 0.5981 0.0000  1 Zr 2.81, 4 Au 2.91, 4 Zn 3.07
Zr: 0.4019 0.4019 0.0000  1 Zr 2.81, 4 Au 2.91, 4 Zn 3.07

Energy of formation from the pure elements   0.0594 eV/atom
Total magnetization   1.6 μB per cell


Record 7
VASP calculation (PBE) on ZrZnAu2 after structural relaxation.

Cell lengths 4.7927, 4.7927, 7.8526 Å; angles 90.00, 90.00, 120.00 degrees
Last column: nearest neighbours and their distance in Å.
Fractional coordinates of all 8 atoms:
Au: 0.6667 0.3333 0.4204  1 Zn 2.59, 1 Au 2.68, 3 Zr 2.84
Au: 0.6667 0.3333 0.0796  1 Zn 2.59, 1 Au 2.68, 3 Zr 2.84
Au: 0.3333 0.6667 0.9204  1 Zn 2.59, 1 Au 2.68, 3 Zr 2.84
Au: 0.3333 0.6667 0.5796  1 Zn 2.59, 1 Au 2.68, 3 Zr 2.84
Zn: 0.3333 0.6667 0.2500  2 Au 2.59
Zn: 0.6667 0.3333 0.7500  2 Au 2.59
Zr: 0.0000 0.0000 0.0000  6 Au 2.84
Zr: 0.0000 0.0000 0.5000  6 Au 2.84

Energy of formation from the pure elements   -0.2538 eV/atom
Total magnetization   0.0 μB per cell


Record 8
VASP calculation (PBE) on ZrZnAu2 after structural relaxation.

Cell lengths 4.6629, 4.6629, 4.6629 Å; angles 60.00, 60.00, 60.00 degrees
Last column: nearest neighbours and their distance in Å.
Fractional coordinates of all 4 atoms:
Au: 0.0000 0.0000 0.0000  4 Au 2.86, 4 Zr 2.86
Au: 0.7500 0.7500 0.7500  4 Au 2.86, 4 Zn 2.86
Zr: 0.2500 0.2500 0.2500  4 Zn 2.86, 4 Au 2.86
Zn: 0.5000 0.5000 0.5000  4 Zr 2.86, 4 Au 2.86

Energy of formation from the pure elements   -0.3998 eV/atom
Total magnetization   0.0 μB per cell


Record 9
VASP calculation (PBE) on Zr2Au after structural relaxation.

Cell lengths 8.4411, 8.4411, 8.4411 Å; angles 60.00, 60.00, 60.00 degrees
Last column: nearest neighbours and their distance in Å.
Fractional coordinates of all 6 atoms:
Zr: 0.3750 0.3750 0.3750  2 Au 2.58
Zr: 0.8750 0.3750 0.3750  2 Au 2.58
Zr: 0.3750 0.3750 0.8750  2 Au 2.58
Zr: 0.3750 0.8750 0.3750  2 Au 2.58
Au: 0.5000 0.5000 0.5000  4 Zr 2.58
Au: 0.2500 0.2500 0.2500  4 Zr 2.58

Energy of formation from the pure elements   2.2216 eV/atom
Total magnetization   5.4 μB per cell


Record 10
VASP calculation (PBE) on ZrAu3 after structural relaxation.

Cell lengths 4.8593, 6.1346, 4.9612 Å; angles 90.00, 90.00, 90.00 degrees
Last column: nearest neighbours and their distance in Å.
Fractional coordinates of all 8 atoms:
Au: 0.0000 0.2528 0.6648  8 Au 2.89-3.10, 4 Zr 2.91-2.99
Au: 0.5000 0.0000 0.8392  8 Au 2.89-3.01, 4 Zr 2.91-3.07
Au: 0.0000 0.7472 0.6648  8 Au 2.89-3.10, 4 Zr 2.91-2.99
Au: 0.0000 0.5000 0.1603  8 Au 2.89-3.01, 4 Zr 2.91-3.07
Au: 0.5000 0.2474 0.3354  8 Au 2.89-3.10, 4 Zr 2.91-2.99
Au: 0.5000 0.7526 0.3354  8 Au 2.89-3.10, 4 Zr 2.91-2.99
Zr: 0.5000 0.5000 0.8388  12 Au 2.91-3.07
Zr: 0.0000 0.0000 0.1612  12 Au 2.91-3.07

Energy of formation from the pure elements   -0.5019 eV/atom
Total magnetization   0.0 μB per cell


Record 11
VASP calculation (PBE) on ZrAu after structural relaxation.

Cell lengths 4.9835, 6.5547, 4.8521 Å; angles 90.00, 90.00, 90.00 degrees
Last column: nearest neighbours and their distance in Å.
Fractional coordinates of all 8 atoms:
Zr: 0.9602 0.5000 0.0000  6 Au 2.98-3.28, 6 Zr 2.98-3.21
Zr: 0.3822 0.5000 0.5000  4 Au 2.92-3.06, 6 Zr 2.99-3.21
Zr: 0.4679 0.7574 0.0000  6 Au 2.93-3.13, 5 Zr 2.98-3.18
Zr: 0.4679 0.2426 0.0000  6 Au 2.93-3.13, 5 Zr 2.98-3.18
Au: 0.8656 0.7528 0.5000  5 Au 2.91-3.24, 6 Zr 2.92-3.13
Au: 0.8656 0.2472 0.5000  5 Au 2.91-3.24, 6 Zr 2.92-3.13
Au: 0.3499 0.0000 0.5000  6 Au 2.91-3.07, 4 Zr 2.96
Au: 0.9740 0.0000 0.0000  6 Zr 2.93-3.28, 6 Au 2.97-3.07

Energy of formation from the pure elements   -0.2574 eV/atom
Total magnetization   0.0 μB per cell


Record 12
VASP calculation (PBE) on ZrAu2 after structural relaxation.

Cell lengths 5.4954, 5.4954, 5.4954 Å; angles 60.00, 60.00, 60.00 degrees
Last column: nearest neighbours and their distance in Å.
Fractional coordinates of all 6 atoms:
Zr: 0.2500 0.2500 0.2500  12 Au 3.22, 4 Zr 3.37
Zr: 0.0000 0.0000 0.0000  12 Au 3.22, 4 Zr 3.37
Au: 0.6250 0.6250 0.6250  6 Au 2.75
Au: 0.6250 0.1250 0.6250  6 Au 2.75
Au: 0.6250 0.6250 0.1250  6 Au 2.75
Au: 0.1250 0.6250 0.6250  6 Au 2.75

Energy of formation from the pure elements   -0.1663 eV/atom
Total magnetization   3.2 μB per cell